18
Lattice="4.7354 -4.0934 0.0000 4.7354 4.0934 0.0000 -0.2094 0.0000 8.0892" Properties=species:S:1:pos:R:3 comment="Ba2Sc2O5 (PBEsol, optimized geometry)" volume_a3_per_cell=313.60 crystal_system=monoclinic e_tot_ev_per_atom=-7.906 raw_formation_energy_ev_per_atom=-3.0440 spacegroup="C2/c, No. 15" pbc="T T T"
Ba 2.2334 0.4289 2.5307
Ba 2.1287 -0.4289 6.5753
Ba 7.1326 0.4289 1.5139
Ba 7.0278 -0.4289 5.5585
Sc 4.2136 1.9413 7.9578
Sc 4.9429 1.9413 4.1760
Sc 4.3183 -1.9413 3.9132
Sc 5.0476 -1.9413 0.1314
O 2.3677 2.0467 0.0000
O 3.4933 2.8318 3.2695
O 4.5783 2.3342 6.0669
O 5.8727 2.8318 0.7751
O 2.2630 -2.0467 4.0446
O 4.7354 0.0000 0.0000
O 4.6306 0.0000 4.0446
O 3.3886 -2.8318 7.3141
O 4.6830 -2.3342 2.0223
O 5.7679 -2.8318 4.8197

3
Lattice="2.9148 0.0000 0.0000 -1.4574 2.5243 0.0000 0.0000 0.0000 6.9499" Properties=species:S:1:pos:R:3 comment="CaMnOs (PBEsol, optimized geometry)" volume_a3_per_cell=51.14 crystal_system=trigonal formation_energy_mev_per_atom=774 e_tot_ev_per_atom=-7.263 spacegroup="P3m1, No. 156" pbc="T T T"
Ca 0.0000 0.0000 0.0000
Mn 0.0000 1.6829 4.3027
Os 1.4574 0.8414 2.4600

4
Lattice="-1.8544 2.8568 5.7006 1.8544 -2.8568 5.7006 1.8544 2.8568 -5.7006" Properties=species:S:1:pos:R:3 comment="Ca2LaMn (PBEsol, optimized geometry)" volume_a3_per_cell=120.80 crystal_system=orthorhombic formation_energy_mev_per_atom=373 e_tot_ev_per_atom=-4.471 spacegroup="Imm2, No. 44" pbc="T T T"
Ca 0.0000 0.0000 0.0000
Ca 0.0000 2.8568 2.3113
La 1.8544 0.0000 3.4733
Mn 0.0000 0.0000 5.5857

4
Lattice="4.4886 0.0000 0.0000 0.0000 3.8164 0.0000 -1.3007 0.0000 5.0208" Properties=species:S:1:pos:R:3 comment="CdInP2 (PBEsol, optimized geometry)" volume_a3_per_cell=86.01 crystal_system=monoclinic formation_energy_mev_per_atom=111 e_tot_ev_per_atom=-3.829 spacegroup="P2/m, No. 10" pbc="T T T"
Cd 0.0000 0.0000 0.0000
In 1.5939 0.0000 2.5104
P -0.1372 1.9082 3.4713
P 3.3251 1.9082 1.5495

64
Lattice="12.8305 0.0000 0.0000 0.0000 6.4163 0.0000 0.0000 0.0000 10.5925" Properties=species:S:1:pos:R:3 comment="KTiPO5 (PBEsol, optimized geometry)" volume_a3_per_cell=872.01 crystal_system=orthorhombic e_tot_ev_per_atom=-7.829 raw_formation_energy_ev_per_atom=-2.6420 spacegroup="Pna2_1, No. 33" pbc="T T T"
K 1.3770 1.2914 0.0000
K 1.6248 4.9946 7.8907
K 4.7905 1.7865 2.5945
K 5.0383 4.4995 5.2962
K 7.7922 1.9168 0.0000
K 8.0400 4.6298 7.8907
K 11.2057 1.4216 2.5945
K 11.4535 5.1249 5.2962
Ti 1.6460 3.2082 4.7036
Ti 3.1467 4.8932 2.0514
Ti 3.2685 1.6850 7.3477
Ti 4.7692 0.0001 9.9998
Ti 8.0613 6.4162 4.7036
Ti 9.5620 4.7313 2.0514
Ti 9.6837 1.5231 7.3477
Ti 11.1844 3.2081 9.9998
P 0.0254 2.1755 7.4134
P 2.3140 0.0237 4.7743
P 4.1012 3.2319 10.0705
P 6.3898 5.3836 2.1172
P 6.4407 1.0327 7.4134
P 8.7292 3.1844 4.7743
P 10.5165 6.3925 10.0705
P 12.8050 4.2408 2.1172
O 0.1244 3.4151 3.4242
O 0.1804 3.1458 6.2353
O 1.2120 5.1551 1.8905
O 1.2753 1.2759 7.6082
O 1.4228 5.2165 5.0727
O 1.4336 1.2553 4.5018
O 2.8635 2.9829 6.1402
O 2.8715 3.5254 3.4578
O 3.1728 2.9786 8.8583
O 3.1713 3.4516 0.7069
O 3.2439 0.2435 6.0031
O 3.2424 6.1867 3.5621
O 3.5437 0.3173 8.7540
O 3.5518 6.1911 0.8440
O 4.9817 4.4634 9.7980
O 4.9924 2.0084 10.3689
O 5.1399 4.4840 2.3119
O 5.2033 1.9469 7.1868
O 6.2348 6.3539 0.9391
O 6.2909 0.2070 8.7204
O 6.5396 6.2093 3.4242
O 6.5956 0.0624 6.2353
O 7.6272 4.4694 1.8905
O 7.6906 1.9323 7.6082
O 7.8380 4.4079 5.0727
O 7.8488 1.9529 4.5018
O 9.2787 0.2252 6.1402
O 9.2868 6.0990 3.4578
O 9.5880 0.2296 8.8583
O 9.5866 6.1728 0.7069
O 9.6591 2.9647 6.0031
O 9.6577 3.4377 3.5621
O 9.9589 2.8909 8.7540
O 9.9670 3.4334 0.8440
O 11.3969 5.1610 9.7980
O 11.4077 1.1998 10.3689
O 11.5551 5.1404 2.3119
O 11.6185 1.2612 7.1868
O 12.6501 3.2705 0.9391
O 12.7061 3.0012 8.7204

5
Lattice="-2.1333 2.1333 5.8493 2.1333 -2.1333 5.8493 2.1333 2.1333 -5.8493" Properties=species:S:1:pos:R:3 comment="SrMg2Cu2 (PBEsol, optimized geometry)" volume_a3_per_cell=106.48 crystal_system=tetragonal formation_energy_mev_per_atom=-43 e_tot_ev_per_atom=-2.832 spacegroup="I4/mmm, No. 139" pbc="T T T"
Sr 0.0000 0.0000 0.0000
Mg 2.1333 0.0000 2.9247
Mg 0.0000 2.1333 2.9247
Cu 0.0000 0.0000 4.6292
Cu 0.0000 0.0000 7.0695

4
Lattice="4.6317 -1.3676 0.0000 4.6317 1.3676 0.0000 -0.6402 0.0000 5.1021" Properties=species:S:1:pos:R:3 comment="ZrCuW2 (PBEsol, optimized geometry)" volume_a3_per_cell=64.64 crystal_system=monoclinic formation_energy_mev_per_atom=377 e_tot_ev_per_atom=-9.883 spacegroup="Cm, No. 8" pbc="T T T"
Zr 0.0000 0.0000 0.0000
Cu 6.7642 0.0000 1.1376
W 1.7183 0.0000 3.5855
W 4.0949 0.0000 2.4681

5
Lattice="-1.7054 1.7054 4.9905 1.7054 -1.7054 4.9905 1.7054 1.7054 -4.9905" Properties=species:S:1:pos:R:3 comment="TlH2Pd2 (PBEsol, optimized geometry)" volume_a3_per_cell=58.06 crystal_system=tetragonal e_tot_ev_per_atom=-4.338 spacegroup="I4/mmm, No. 139" pbc="T T T"
Tl 0.0000 0.0000 0.0000
H 1.7054 0.0000 2.4953
H 0.0000 1.7054 2.4953
Pd 0.0000 0.0000 3.3393
Pd 0.0000 0.0000 6.6417

5
Lattice="4.7421 0.0000 0.0000 0.0000 4.7421 0.0000 0.0000 0.0000 4.2811" Properties=species:S:1:pos:R:3 comment="Mg2ZnCoAu (PBEsol, optimized geometry)" volume_a3_per_cell=96.27 crystal_system=tetragonal formation_energy_mev_per_atom=585 e_tot_ev_per_atom=-2.750 spacegroup="P4/mmm, No. 123" pbc="T T T"
Mg 0.0000 2.3710 0.0000
Mg 2.3710 0.0000 0.0000
Zn 0.0000 0.0000 0.0000
Co 0.0000 0.0000 2.1406
Au 2.3710 2.3710 2.1406

4
Lattice="4.4714 0.0000 0.0000 0.0000 4.4714 0.0000 0.0000 0.0000 6.1458" Properties=species:S:1:pos:R:3 comment="Sr2AsBr (PBEsol, optimized geometry)" volume_a3_per_cell=122.88 crystal_system=tetragonal e_tot_ev_per_atom=-4.170 raw_formation_energy_ev_per_atom=-1.5056 spacegroup="P4/mmm, No. 123" pbc="T T T"
Sr 0.0000 0.0000 0.0000
Sr 2.2357 2.2357 3.0729
As 0.0000 0.0000 3.0729
Br 2.2357 2.2357 0.0000

4
Lattice="1.3354 0.7710 8.7667 -1.3354 0.7710 8.7667 0.0000 -1.5420 8.7667" Properties=species:S:1:pos:R:3 comment="OsRuRh2 (PBEsol, optimized geometry)" volume_a3_per_cell=54.16 crystal_system=trigonal formation_energy_mev_per_atom=62 e_tot_ev_per_atom=-9.604 spacegroup="R-3m, No. 166" pbc="T T T"
Os 0.0000 0.0000 0.0000
Ru 0.0000 0.0000 13.1500
Rh 0.0000 0.0000 6.5685
Rh 0.0000 0.0000 19.7316

4
Lattice="-1.8502 1.8502 4.3657 1.8502 -1.8502 4.3657 1.8502 1.8502 -4.3657" Properties=species:S:1:pos:R:3 comment="MgMnMo2 (PBEsol, optimized geometry)" volume_a3_per_cell=59.78 crystal_system=tetragonal formation_energy_mev_per_atom=406 e_tot_ev_per_atom=-8.348 spacegroup="I4/mmm, No. 139" pbc="T T T"
Mg 0.0000 0.0000 0.0000
Mn 0.0000 0.0000 4.3657
Mo 1.8502 0.0000 2.1829
Mo 0.0000 1.8502 2.1829

5
Lattice="5.0585 0.0000 0.0000 0.0000 5.0585 0.0000 0.0000 0.0000 5.0585" Properties=species:S:1:pos:R:3 comment="Sr3FeO (PBEsol, optimized geometry)" volume_a3_per_cell=129.44 crystal_system=cubic e_tot_ev_per_atom=-4.569 raw_formation_energy_ev_per_atom=-0.6221 spacegroup="Pm-3m, No. 221" pbc="T T T"
Sr 0.0000 0.0000 2.5293
Sr 0.0000 2.5293 0.0000
Sr 2.5293 0.0000 0.0000
Fe 2.5293 2.5293 2.5293
O 0.0000 0.0000 0.0000

4
Lattice="3.2277 0.0000 0.0000 0.0000 3.2277 0.0000 0.0000 0.0000 8.3586" Properties=species:S:1:pos:R:3 comment="ZrSc2Cd (PBEsol, optimized geometry)" volume_a3_per_cell=87.08 crystal_system=tetragonal formation_energy_mev_per_atom=-187 e_tot_ev_per_atom=-6.061 spacegroup="P4/mmm, No. 123" pbc="T T T"
Zr 0.0000 0.0000 0.0000
Sc 1.6138 1.6138 2.1518
Sc 1.6138 1.6138 6.2068
Cd 0.0000 0.0000 4.1793

24
Lattice="-3.2812 3.2812 5.0865 3.2812 -3.2812 5.0865 3.2812 3.2812 -5.0865" Properties=species:S:1:pos:R:3 comment="Li3BN2 (PBEsol, optimized geometry)" volume_a3_per_cell=219.06 crystal_system=tetragonal e_tot_ev_per_atom=-5.892 raw_formation_energy_ev_per_atom=-0.8970 spacegroup="I4_1/amd, No. 141" pbc="T T T"
Li 3.2812 1.6406 -2.5385
Li 0.0000 1.6406 7.6251
Li 1.8059 0.1653 1.2716
Li 4.7565 0.1653 1.2716
Li 0.0000 1.6406 0.0048
Li 1.8059 3.4465 -1.2716
Li 1.4753 0.1653 3.8149
Li 1.8059 3.1159 1.2716
Li 1.4753 -0.1653 6.3582
Li 3.2812 1.6406 5.0818
Li -1.4753 3.1159 3.8149
Li 1.4753 3.1159 3.8149
B 3.2812 1.6406 -0.2145
B 0.0000 1.6406 2.3288
B 3.2812 1.6406 2.7578
B 0.0000 1.6406 5.3011
N 1.9366 1.6406 -0.2667
N 4.6259 1.6406 -0.2667
N 0.0000 0.2960 2.2766
N 3.2812 0.2960 2.8100
N 0.0000 2.9853 2.2766
N 3.2812 2.9853 2.8100
N -1.3447 1.6406 5.3533
N 1.3447 1.6406 5.3533

4
Lattice="4.1109 -1.2554 0.0000 4.1109 1.2554 0.0000 -0.7871 0.0000 4.2063" Properties=species:S:1:pos:R:3 comment="ZnNi3 (PBEsol, optimized geometry)" volume_a3_per_cell=43.42 crystal_system=monoclinic formation_energy_mev_per_atom=-118 e_tot_ev_per_atom=-5.132 spacegroup="C2/m, No. 12" pbc="T T T"
Zn 0.0000 0.0000 0.0000
Ni 1.4562 0.0000 3.1279
Ni 3.7173 0.0000 2.1032
Ni 5.9785 0.0000 1.0784

24
Lattice="7.5049 0.0000 0.0000 0.0000 5.2649 0.0000 -1.0256 0.0000 7.3461" Properties=species:S:1:pos:R:3 comment="TmSbO4 (PBEsol, optimized geometry)" volume_a3_per_cell=290.26 crystal_system=monoclinic e_tot_ev_per_atom=-7.555 raw_formation_energy_ev_per_atom=-2.4790 spacegroup="P2_1/c, No. 14" pbc="T T T"
Tm 0.6692 1.1902 2.8429
Tm 0.1564 1.4423 6.5159
Tm 6.3228 3.8226 0.8302
Tm 5.8100 4.0748 4.5032
Sb 2.3330 3.8413 1.3925
Sb 1.8202 4.0561 5.0656
Sb 4.6591 1.2088 2.2805
Sb 4.1463 1.4236 5.9535
O 0.6538 2.7309 1.2674
O 0.1410 5.1665 4.9405
O 1.1842 0.0616 0.8535
O 0.6714 2.5709 4.5265
O 1.5128 3.2051 6.8665
O 2.0257 4.6923 3.1934
O 2.3762 0.5169 5.9707
O 2.8890 2.1155 2.2976
O 3.5903 3.1494 5.0485
O 4.1031 4.7480 1.3754
O 4.4536 0.5727 4.1526
O 4.9664 2.0598 0.4796
O 5.8078 2.6941 2.8195
O 5.2950 5.2033 6.4926
O 6.3382 0.0984 2.4056
O 5.8254 2.5340 6.0786

4
Lattice="0.0000 4.0595 4.0595 4.0595 0.0000 4.0595 4.0595 4.0595 0.0000" Properties=species:S:1:pos:R:3 comment="CsYPb2 (PBEsol, optimized geometry)" volume_a3_per_cell=133.79 crystal_system=cubic formation_energy_mev_per_atom=24 e_tot_ev_per_atom=-3.917 spacegroup="Fm-3m, No. 225" pbc="T T T"
Cs 0.0000 0.0000 0.0000
Y 4.0595 4.0595 4.0595
Pb 2.0297 2.0297 2.0297
Pb 6.0892 6.0892 6.0892

32
Lattice="8.4743 0.0000 0.0000 0.0000 8.4743 0.0000 0.0000 0.0000 4.2353" Properties=species:S:1:pos:R:3 comment="Mg14MnZnO16 (PBEsol, optimized geometry)" volume_a3_per_cell=304.16 crystal_system=tetragonal e_tot_ev_per_atom=-6.284 raw_formation_energy_ev_per_atom=-2.5534 spacegroup="P4/mmm, No. 123" pbc="T T T"
Mg 0.0000 2.1152 0.0000
Mg 0.0000 4.2372 2.1177
Mg 0.0000 6.3591 0.0000
Mg 2.1049 4.2372 0.0000
Mg 2.1113 2.1113 2.1177
Mg 2.1113 6.3631 2.1177
Mg 2.1152 0.0000 0.0000
Mg 4.2372 0.0000 2.1177
Mg 4.2372 2.1049 0.0000
Mg 4.2372 6.3695 0.0000
Mg 6.3591 0.0000 0.0000
Mg 6.3631 2.1113 2.1177
Mg 6.3631 6.3631 2.1177
Mg 6.3695 4.2372 0.0000
Mn 4.2372 4.2372 2.1177
Zn 0.0000 0.0000 2.1177
O 0.0000 0.0000 0.0000
O 0.0000 2.1355 2.1177
O 0.0000 4.2372 0.0000
O 0.0000 6.3388 2.1177
O 2.0659 4.2372 2.1177
O 2.1188 2.1188 0.0000
O 2.1188 6.3555 0.0000
O 2.1355 0.0000 2.1177
O 4.2372 0.0000 0.0000
O 4.2372 2.0659 2.1177
O 4.2372 4.2372 0.0000
O 4.2372 6.4084 2.1177
O 6.3388 0.0000 2.1177
O 6.3555 2.1188 0.0000
O 6.3555 6.3555 0.0000
O 6.4084 4.2372 2.1177

4
Lattice="1.2516 0.7226 8.4448 -1.2516 0.7226 8.4448 0.0000 -1.4453 8.4448" Properties=species:S:1:pos:R:3 comment="Li2CuNi (PBEsol, optimized geometry)" volume_a3_per_cell=45.83 crystal_system=trigonal formation_energy_mev_per_atom=15 e_tot_ev_per_atom=-3.591 spacegroup="R-3m, No. 166" pbc="T T T"
Li 0.0000 0.0000 6.2660
Li 0.0000 0.0000 19.0685
Cu 0.0000 0.0000 0.0000
Ni 0.0000 0.0000 12.6672

4
Lattice="1.4907 0.8607 9.6006 -1.4907 0.8607 9.6006 0.0000 -1.7213 9.6006" Properties=species:S:1:pos:R:3 comment="RePbAu2 (PBEsol, optimized geometry)" volume_a3_per_cell=73.91 crystal_system=trigonal formation_energy_mev_per_atom=587 e_tot_ev_per_atom=-5.708 spacegroup="R3m, No. 160" pbc="T T T"
Re 0.0000 0.0000 0.0000
Pb 0.0000 0.0000 21.6762
Au 0.0000 0.0000 7.4855
Au 0.0000 0.0000 14.8324

4
Lattice="0.0000 2.9788 2.9788 2.9788 0.0000 2.9788 2.9788 2.9788 0.0000" Properties=species:S:1:pos:R:3 comment="SiP2Ru (PBEsol, optimized geometry)" volume_a3_per_cell=52.86 crystal_system=cubic e_tot_ev_per_atom=-6.604 raw_formation_energy_ev_per_atom=0.2712 spacegroup="F-43m, No. 216" pbc="T T T"
Si 0.0000 0.0000 0.0000
P 2.9788 2.9788 2.9788
P 4.4682 4.4682 4.4682
Ru 1.4894 1.4894 1.4894